Here is ScFe6Sn6 at its PBEsol-relaxed geometry from the Alexandria database. Energies are from meta-GGA SCAN.

The structure in POSCAR format:
```
ScFe6Sn6
1.0
-2.846 3.423 -2.834
-2.400 -3.929 2.578
-0.836 5.119 7.021
Sn Fe Sc
6 6 1
direct
0.000 0.000 0.332
0.667 0.333 0.500
0.667 0.333 0.000
0.333 0.667 0.500
0.000 0.000 0.668
0.333 0.667 0.000
0.000 0.500 0.247
0.500 0.500 0.753
0.500 0.000 0.753
0.500 0.500 0.247
0.500 0.000 0.247
0.000 0.500 0.753
0.000 0.000 0.000
```

Output
volume = 16.19 Å³ per atom
ΔE_f = -1.415 eV/f.u.